w | Below is a relaxed structure of BaY2Ag, with properties calculated at the GGA-PBE level.

calculated volume	124.69	Å³ per cell
size of the total moment	0.0	μB/f.u.
symmetry	No. 65

Cell: 5.640 5.640 3.978 Å, 90.00 90.00 99.85°
Element x y z (fractional)
Ba 0.000 0.000 0.000
Y 0.000 0.500 0.500
Y 0.500 0.000 0.500
Ag 0.500 0.500 0.000

=====

x | Below is a relaxed structure of BaY2Ag, with properties calculated at the GGA-PBE level.

calculated volume	135.32	Å³ per cell
size of the total moment	0.0	μB/f.u.
symmetry	No. 123

Cell: 3.728 3.728 9.737 Å, 90.00 90.00 90.00°
Element x y z (fractional)
Ba 0.000 0.000 0.000
Y 0.500 0.500 0.323
Y 0.500 0.500 0.677
Ag 0.000 0.000 0.500

=====

Most stable pick: x. Distance to second place: 258 meV per atom.

=====

w | Below is a relaxed structure of BaY2Ag, with properties calculated at the GGA-PBE level.

calculated volume	119.09	Å³ per cell
size of the total moment	1.1	μB/f.u.
symmetry	No. 225

Cell: 5.522 5.522 5.522 Å, 60.00 60.00 60.00°
Element x y z (fractional)
Ba 0.000 0.000 0.000
Y 0.250 0.250 0.250
Y 0.750 0.750 0.750
Ag 0.500 0.500 0.500

=====

x | Below is a relaxed structure of BaY2Ag, with properties calculated at the GGA-PBE level.

calculated volume	123.75	Å³ per cell
size of the total moment	0.0	μB/f.u.
symmetry	No. 123

Cell: 5.496 5.496 4.097 Å, 90.00 90.00 90.00°
Element x y z (fractional)
Ba 0.000 0.000 0.000
Y 0.000 0.500 0.500
Y 0.500 0.000 0.500
Ag 0.500 0.500 0.000

=====

y | Below is a relaxed structure of BaY2Ag, with properties calculated at the GGA-PBE level.

calculated volume	132.35	Å³ per cell
size of the total moment	0.0	μB/f.u.
symmetry	No. 12

Cell: 7.051 7.051 3.607 Å, 103.70 103.70 122.16°
Element x y z (fractional)
Ba 0.000 0.000 0.000
Y 0.000 0.500 0.500
Y 0.500 0.000 0.500
Ag 0.500 0.500 0.000

=====

Most stable pick: y. Distance to second place: 26 meV per atom.